--- one ---
Below is a relaxed structure of AgIrBr6, with properties calculated at the PBE level.

a = 6.5245 Å, b = 6.5307 Å, c = 7.0309 Å
α = 62.24°, β = 62.44°, γ = 60.00°
Closest atoms and distances in Å follow each position.
Element x y z (fractional)
Ir  0.0000  0.0000  0.0000  6 Br 2.49
Br  0.2215  0.9468  0.2380  1 Ir 2.49
Br  0.0525  0.4064  0.7624  1 Ir 2.49
Br  0.4055  0.7795  0.7627  1 Ir 2.49
Br  0.7785  0.0532  0.7620  1 Ir 2.49
Br  0.5945  0.2205  0.2373  1 Ir 2.49
Br  0.9475  0.5936  0.2376  1 Ir 2.49
Ag  0.5000  0.5000  0.5000  6 Br 2.83-2.84

Output
magnetic moment: 0.001 μB/cell
V: 27.38 Å³/atom
theoretical density: 5.910 g/cm³
DOS at the Fermi energy: 1.3695 states/eV per atom

=====

--- two ---
Below is a relaxed structure of AgIrBr6, with properties calculated at the PBE level.

a = 6.2870 Å, b = 6.2870 Å, c = 6.9933 Å
α = 97.52°, β = 97.52°, γ = 94.88°
Closest atoms and distances in Å follow each position.
Element x y z (fractional)
Ag  0.0000  0.0000  0.5000  4 Br 2.63
Br  0.2677  0.2677  0.9092  1 Ir 2.48
Br  0.0936  0.7224  0.7408  1 Ir 2.51, 1 Ag 2.63
Br  0.7323  0.7323  0.0908  1 Ir 2.48
Br  0.9064  0.2776  0.2592  1 Ir 2.51, 1 Ag 2.63
Br  0.2776  0.9064  0.2592  1 Ir 2.51, 1 Ag 2.63
Br  0.7224  0.0936  0.7408  1 Ir 2.51, 1 Ag 2.63
Ir  0.0000  0.0000  0.0000  6 Br 2.48-2.51

Output
magnetic moment: 0.001 μB/cell
V: 33.78 Å³/atom
theoretical density: 4.790 g/cm³
DOS at the Fermi energy: 1.0618 states/eV per atom

=====

What should be chosen as the least stable of them? Choose one.

=====

--- one ---
Below is a relaxed structure of AgIrSeBr2, with properties calculated at the PBE level.

a = 5.3344 Å, b = 5.3344 Å, c = 4.6651 Å
α = 90.00°, β = 90.00°, γ = 90.00°
Closest atoms and distances in Å follow each position.
Element x y z (fractional)
Br  0.0000  0.5000  0.0000  2 Ir 2.67
Br  0.5000  0.0000  0.0000  2 Ir 2.67
Se  0.0000  0.0000  0.5000  2 Ir 2.33
Ir  0.0000  0.0000  0.0000  2 Se 2.33
Ag  0.5000  0.5000  0.5000  8 Br 3.54, 4 Se 3.77

Output
magnetic moment: 0.000 μB/cell
V: 26.55 Å³/atom
theoretical density: 6.740 g/cm³
DOS at the Fermi energy: 0.7654 states/eV per atom

=====

--- two ---
Below is a relaxed structure of AgIrSeBr2, with properties calculated at the PBE level.

a = 5.0912 Å, b = 5.0912 Å, c = 5.2840 Å
α = 90.00°, β = 90.00°, γ = 90.00°
Closest atoms and distances in Å follow each position.
Element x y z (fractional)
Se  0.0000  0.0000  0.5000  2 Ag 2.64
Br  0.0000  0.5000  0.0000  2 Ag 2.55
Br  0.5000  0.0000  0.0000  2 Ag 2.55
Ag  0.0000  0.0000  0.0000  4 Br 2.55, 2 Se 2.64
Ir  0.5000  0.5000  0.5000  4 Se 3.60, 8 Br 3.67

Output
magnetic moment: 2.911 μB/cell
V: 27.39 Å³/atom
theoretical density: 6.533 g/cm³
DOS at the Fermi energy: 1.4254 states/eV per atom

=====

What should be chosen as the least stable of them? Choose two.